Version w
Here is a relaxed RbGeOF2 crystal from the Alexandria database. Energies are from GGA-PBE.

Computed properties:
Crystal system: tetragonal
Space group: No. 123
D(E_F): 0.46 states/eV/f.u.

a b c (Å): 4.4877 4.4877 3.8113
angles (deg): 90.00 90.00 90.00
Atoms (fractional coordinates):
Rb1 0.0000 0.0000 0.0000
Ge1 0.5000 0.5000 0.5000
O1 0.5000 0.5000 0.0000
F1 0.0000 0.5000 0.5000
F2 0.5000 0.0000 0.5000

=====

Version x
Here is a relaxed RbGeOF2 crystal from the Alexandria database. Energies are from GGA-PBE.

Computed properties:
Crystal system: tetragonal
Space group: No. 123
D(E_F): 0.51 states/eV/f.u.

a b c (Å): 4.8253 4.8253 4.4314
angles (deg): 90.00 90.00 90.00
Atoms (fractional coordinates):
Rb1 0.0000 0.0000 0.0000
Ge1 0.5000 0.5000 0.5000
O1 0.0000 0.0000 0.5000
F1 0.0000 0.5000 0.0000
F2 0.5000 0.0000 0.0000

=====

Ordering by calculated energy gives the sequence version w, version x, with the first entry being the most stable.

=====

Version w
Here is a relaxed TaIrPt2 crystal from the Alexandria database. Energies are from GGA-PBE.

Computed properties:
Crystal system: orthorhombic
Space group: No. 51
D(E_F): 1.45 states/eV/f.u.

a b c (Å): 3.9538 3.9171 8.1991
angles (deg): 90.00 90.00 90.00
Atoms (fractional coordinates):
Ta1 0.2500 0.0000 0.1403
Ta2 0.7500 0.0000 0.8597
Ir1 0.2500 0.5000 0.8795
Ir2 0.7500 0.5000 0.1205
Pt1 0.2500 0.0000 0.6386
Pt2 0.2500 0.5000 0.3694
Pt3 0.7500 0.0000 0.3614
Pt4 0.7500 0.5000 0.6306

=====

Version x
Here is a relaxed TaIrPt2 crystal from the Alexandria database. Energies are from GGA-PBE.

Computed properties:
Crystal system: monoclinic
Space group: No. 8
D(E_F): 4.43 states/eV/f.u.

a b c (Å): 4.8890 4.8890 4.8533
angles (deg): 100.20 100.20 33.73
Atoms (fractional coordinates):
Ta1 0.0000 0.0000 0.0000
Ir1 0.2558 0.2558 0.7589
Pt1 0.5054 0.5054 0.5065
Pt2 0.7487 0.7487 0.2553

=====

Ordering by calculated energy gives the sequence version w, version x, with the first entry being the most stable.